[1]
Here is a geometry-optimized BeTc4Te structure from Alexandria via LeMat-Bulk. Energies are from GGA-PBEsol.

abc: 7.2226 7.2226 7.2226
angles: 90.00 90.00 90.00
Last column: nearest neighbours and their distance in Å.
Space group F-43m (No. 216)
Inequivalent atoms, fractional coordinates:
1 Be 0.0000 0.0000 0.0000 (multiplicity 4)  12 Tc 2.99, 4 Te 3.13
2 Tc 0.1250 0.1250 0.3750 (multiplicity 16)  6 Tc 2.55
3 Te 0.2500 0.2500 0.7500 (multiplicity 4)  12 Tc 2.99, 4 Be 3.13

- Total magnetic moment: 0.00 μB/atom
- E_form (uncorrected): 673 meV per atom



[2]
Here is a geometry-optimized Be2TcTe structure from Alexandria via LeMat-Bulk. Energies are from GGA-PBEsol.

abc: 3.9549 3.9549 3.3329
angles: 90.00 90.00 90.00
Last column: nearest neighbours and their distance in Å.
Space group P4/mmm (No. 123)
Inequivalent atoms, fractional coordinates:
1 Be 0.0000 0.5000 0.0000 (multiplicity 2)  4 Tc 2.59, 4 Te 2.59, 4 Be 2.80
2 Tc 0.0000 0.0000 0.5000 (multiplicity 1)  8 Be 2.59, 4 Te 2.80
3 Te 0.5000 0.5000 0.5000 (multiplicity 1)  8 Be 2.59, 4 Tc 2.80

- Total magnetic moment: 0.00 μB/atom
- E_form (uncorrected): 388 meV per atom



[3]
Here is a geometry-optimized BeTc3Te structure from Alexandria via LeMat-Bulk. Energies are from GGA-PBEsol.

abc: 4.7334 4.7334 4.7334
angles: 90.00 90.00 90.00
Last column: nearest neighbours and their distance in Å.
Space group Pm-3m (No. 221)
Inequivalent atoms, fractional coordinates:
1 Be 0.0000 0.0000 0.0000 (multiplicity 1)  12 Tc 3.35
2 Tc 0.0000 0.5000 0.5000 (multiplicity 3)  2 Te 2.37
3 Te 0.5000 0.5000 0.5000 (multiplicity 1)  6 Tc 2.37

- Total magnetic moment: 0.44 μB/atom
- E_form (uncorrected): 2194 meV per atom